The following is a PBE calculation of CeAl2Si2 after structural relaxation, from Alexandria via LeMat-Bulk.

The structure in extended XYZ format:
```
5
Lattice="-1.034 3.995 0.805 -2.548 -2.403 -2.326 -3.274 -1.982 5.636" Properties=species:S:1:pos:R:3 pbc="T T T"
Si -2.911 -0.795 0.211
Si -3.945 0.405 3.904
Al -4.140 -1.540 2.328
Al -2.715 1.150 1.787
Ce 0.000 0.000 0.000
```

Values from the calculation:
SG = P-3m1
N(E_F) = 6.2 states/eV/cell
formation energy without anion corrections = -0.363 eV per atom
calculated volume = 104.3 Å³/cell
E = -5.216 eV/atom

***

The following is a PBE calculation of K2SrCaF6 after structural relaxation, from Alexandria via LeMat-Bulk.

The structure in extended XYZ format:
```
20
Lattice="6.314 0.000 -0.027 0.000 6.491 0.000 0.016 0.000 9.002" Properties=species:S:1:pos:R:3 pbc="T T T"
K 0.095 6.185 2.257
K 3.260 3.552 6.745
K 6.236 0.306 6.718
K 3.071 2.939 2.230
Sr 3.157 0.000 -0.014
Sr 0.008 3.246 4.501
Ca 3.165 0.000 4.487
Ca 0.000 3.246 0.000
F 1.818 4.535 0.460
F 4.983 5.202 4.947
F 4.513 1.956 8.515
F 1.348 1.290 4.027
F 1.930 4.638 3.988
F 5.095 5.099 8.476
F 4.401 1.853 4.987
F 1.235 1.392 0.499
F 5.680 3.518 2.149
F 2.531 6.219 6.664
F 0.650 2.974 6.826
F 3.799 0.272 2.311
```

Values from the calculation:
SG = P2_1/c
N(E_F) = 0.0 states/eV/cell
formation energy without anion corrections = -3.447 eV per atom
calculated volume = 369.0 Å³/cell
E = -5.158 eV/atom